1.
# CsYSe2

A geometry-optimized CsYSe2 structure (PBE, Alexandria via LeMat-Bulk).

a b c (Å): 12.4174 12.4168 17.3089
angles (deg): 90.00 100.24 90.00
Last column: nearest neighbours and their distance in Å.
Space group C2/c (No. 15)
One atom of each set of equivalent atoms:
Cs: 0.0328 0.1864 0.3825 x8  6 Se 3.73-3.82
Cs: 0.2168 0.4371 0.1136 x8  6 Se 3.68-3.88
Y: 0.1007 0.1888 0.6562 x8  4 Se 2.73
Y: 0.1474 0.4369 0.8436 x8  4 Se 2.73
Se: 0.0000 0.0601 0.7500 x4  2 Y 2.73
Se: 0.0000 0.4342 0.2500 x4  2 Y 2.73
Se: 0.0478 0.3123 0.9403 x8  2 Y 2.73
Se: 0.2028 0.0623 0.5623 x8  2 Y 2.73
Se: 0.2472 0.1870 0.2503 x8  2 Y 2.73

V: 41.04 Å³ per atom
raw formation energy: -1.60 eV per atom
M_tot: 0.00 μB per formula unit
final energy: -5.17 eV/atom

---

2.
# Cs2Y3Se6

A geometry-optimized Cs2Y3Se6 structure (PBE, Alexandria via LeMat-Bulk).

a b c (Å): 7.2134 12.4950 8.9609
angles (deg): 90.00 105.57 90.00
Last column: nearest neighbours and their distance in Å.
Space group C2/m (No. 12)
One atom of each set of equivalent atoms:
Cs: 0.0000 0.1667 0.0000 x4  6 Se 3.63-3.64
Y: 0.0000 0.0000 0.5000 x2  6 Se 2.88-2.89
Y: 0.0000 0.3334 0.5000 x4  6 Se 2.88-2.89
Se: 0.2284 0.1664 0.6845 x8  3 Y 2.88-2.89
Se: 0.2276 0.5000 0.6844 x4  3 Y 2.88-2.89

V: 35.36 Å³ per atom
raw formation energy: -1.66 eV per atom
M_tot: 0.00 μB per formula unit
final energy: -5.48 eV/atom

---

3.
# CsY2Se2

A geometry-optimized CsY2Se2 structure (PBE, Alexandria via LeMat-Bulk).

a b c (Å): 4.9213 4.9213 15.5220
angles (deg): 90.00 90.00 90.00
Last column: nearest neighbours and their distance in Å.
Space group I4/mmm (No. 139)
One atom of each set of equivalent atoms:
Cs: 0.0000 0.0000 0.0000 x2  8 Se 4.24, 8 Y 4.59
Y: 0.0000 0.5000 0.2500 x4  4 Se 2.86
Se: 0.0000 0.0000 0.3434 x4  4 Y 2.86

V: 37.59 Å³ per atom
raw formation energy: -1.15 eV per atom
M_tot: 0.00 μB per formula unit
final energy: -5.30 eV/atom

---

4.
# CsYSe2

A geometry-optimized CsYSe2 structure (PBE, Alexandria via LeMat-Bulk).

a b c (Å): 4.0422 24.5743 5.7792
angles (deg): 90.00 90.00 90.00
Last column: nearest neighbours and their distance in Å.
Space group Cmcm (No. 63)
One atom of each set of equivalent atoms:
Cs: 0.0000 0.0543 0.2500 x4  3 Se 3.20-3.57
Y: 0.0000 0.3101 0.2500 x4  3 Se 2.72-2.81
Se: 0.0000 0.1106 0.7500 x4  2 Y 2.81
Se: 0.0000 0.1996 0.2500 x4  1 Y 2.72

V: 35.88 Å³ per atom
raw formation energy: -1.26 eV per atom
M_tot: 0.00 μB per formula unit
final energy: -4.84 eV/atom

---

5.
# CsYSe2

A geometry-optimized CsYSe2 structure (PBE, Alexandria via LeMat-Bulk).

a b c (Å): 10.4513 12.1013 10.5581
angles (deg): 90.00 90.00 90.00
Last column: nearest neighbours and their distance in Å.
Space group Fdd2 (No. 43)
One atom of each set of equivalent atoms:
Cs: 0.0000 0.0000 0.0000 x8  6 Se 3.63-3.94
Y: 0.0000 0.0000 0.4585 x8  4 Se 2.72-2.75
Se: 0.0445 0.2066 0.5584 x16  2 Y 2.72-2.75

V: 41.73 Å³ per atom
raw formation energy: -1.58 eV per atom
M_tot: 0.00 μB per formula unit
final energy: -5.15 eV/atom

---

6.
# CsYSe

A geometry-optimized CsYSe structure (PBE, Alexandria via LeMat-Bulk).

a b c (Å): 4.0064 4.0064 17.0864
angles (deg): 90.00 90.00 120.00
Last column: nearest neighbours and their distance in Å.
Space group P-6m2 (No. 187)
One atom of each set of equivalent atoms:
Cs: 0.0000 0.0000 0.1414 x2  3 Se 3.34
Y: 0.3333 0.6667 0.3933 x2  3 Se 2.95
Se: 0.0000 0.0000 0.5000 x1  6 Y 2.95
Se: 0.3333 0.6667 0.0000 x1  6 Cs 3.34

V: 39.59 Å³ per atom
raw formation energy: -0.55 eV per atom
M_tot: 0.39 μB per formula unit
final energy: -4.15 eV/atom

---

7.
# Cs2YSe

A geometry-optimized Cs2YSe structure (PBE, Alexandria via LeMat-Bulk).

a b c (Å): 9.0977 9.0977 9.0977
angles (deg): 90.00 90.00 90.00
Last column: nearest neighbours and their distance in Å.
Space group Fm-3m (No. 225)
One atom of each set of equivalent atoms:
Cs: 0.2500 0.2500 0.2500 x8  4 Se 3.94, 4 Y 3.94
Y: 0.0000 0.0000 0.0000 x4  8 Cs 3.94
Se: 0.0000 0.0000 0.5000 x4  8 Cs 3.94

V: 47.06 Å³ per atom
offset from the most stable computed form: 0.685 eV/atom
raw formation energy: 0.26 eV per atom
M_tot: 1.00 μB per formula unit
final energy: -2.66 eV/atom

---

8.
# CsY3Se4

A geometry-optimized CsY3Se4 structure (PBE, Alexandria via LeMat-Bulk).

a b c (Å): 4.1744 4.1744 29.9447
angles (deg): 90.00 90.00 120.00
Last column: nearest neighbours and their distance in Å.
Space group P6_3/mmc (No. 194)
One atom of each set of equivalent atoms:
Cs: 0.3333 0.6667 0.2500 x2  6 Se 3.57
Y: 0.0000 0.0000 0.0000 x2  6 Se 2.91
Y: 0.3333 0.6667 0.6097 x4  6 Se 2.87-2.92
Se: 0.0000 0.0000 0.1621 x4  3 Y 2.87
Se: 0.3333 0.6667 0.0547 x4  6 Y 2.91-2.92

V: 28.24 Å³ per atom
raw formation energy: -1.75 eV per atom
M_tot: 0.00 μB per formula unit
final energy: -6.02 eV/atom

---

9.
# CsYSe2

A geometry-optimized CsYSe2 structure (PBE, Alexandria via LeMat-Bulk).

a b c (Å): 4.7010 4.7010 27.9372
angles (deg): 90.00 90.00 120.00
Last column: nearest neighbours and their distance in Å.
Space group R3m (No. 160, hexagonal axes)
One atom of each set of equivalent atoms:
Cs: 0.0000 0.0000 0.0000 x3  3 Se 3.37
Y: 0.0000 0.0000 0.4961 x3  1 Se 2.55
Se: 0.0000 0.0000 0.4049 x3  1 Y 2.55
Se: 0.0000 0.0000 0.8641 x3  3 Y 2.88

V: 44.56 Å³ per atom
raw formation energy: -1.37 eV per atom
M_tot: 0.00 μB per formula unit
final energy: -4.95 eV/atom

---

10.
# Cs2YSe

A geometry-optimized Cs2YSe structure (PBE, Alexandria via LeMat-Bulk).

a b c (Å): 13.9446 13.9446 5.4563
angles (deg): 90.00 90.00 90.00
Last column: nearest neighbours and their distance in Å.
Space group I-42d (No. 122)
One atom of each set of equivalent atoms:
Cs: 0.0933 0.2500 0.1250 x8  2 Se 3.78
Y: 0.0000 0.0000 0.5000 x4  2 Se 2.73
Se: 0.0000 0.0000 0.0000 x4  2 Y 2.73

V: 66.31 Å³ per atom
offset from the most stable computed form: 0.000 eV/atom
raw formation energy: -0.43 eV per atom
M_tot: 0.69 μB per formula unit
final energy: -3.34 eV/atom

---

11.
# CsYSe2

A geometry-optimized CsYSe2 structure (PBE, Alexandria via LeMat-Bulk).

a b c (Å): 4.2478 4.2478 8.5434
angles (deg): 90.00 90.00 120.00
Last column: nearest neighbours and their distance in Å.
Space group P-3m1 (No. 164)
One atom of each set of equivalent atoms:
Cs: 0.0000 0.0000 0.0000 x1  6 Se 3.64
Y: 0.0000 0.0000 0.5000 x1  6 Se 2.92
Se: 0.3333 0.6667 0.3153 x2  3 Y 2.92

V: 33.38 Å³ per atom
raw formation energy: -1.71 eV per atom
M_tot: 0.00 μB per formula unit
final energy: -5.28 eV/atom

---

12.
# CsYSe2

A geometry-optimized CsYSe2 structure (PBE, Alexandria via LeMat-Bulk).

a b c (Å): 4.1881 7.5186 8.5288
angles (deg): 90.00 90.00 90.00
Last column: nearest neighbours and their distance in Å.
Space group Pmmn (No. 59, origin choice 2)
One atom of each set of equivalent atoms:
Cs: 0.2500 0.2500 0.0725 x2  6 Se 3.56-3.74
Y: 0.2500 0.7500 0.4414 x2  6 Se 2.89-2.94
Se: 0.2500 0.0165 0.6858 x4  3 Y 2.89-2.94

V: 33.57 Å³ per atom
raw formation energy: -1.65 eV per atom
M_tot: 0.00 μB per formula unit
final energy: -5.23 eV/atom

---

13.
# CsYSe2

A geometry-optimized CsYSe2 structure (PBE, Alexandria via LeMat-Bulk).

a b c (Å): 4.2557 4.2557 25.3588
angles (deg): 90.00 90.00 120.00
Last column: nearest neighbours and their distance in Å.
Space group R3m (No. 160, hexagonal axes)
One atom of each set of equivalent atoms:
Cs: 0.0000 0.0000 0.0000 x3  6 Se 3.58-3.66
Y: 0.0000 0.0000 0.1688 x3  6 Se 2.92
Se: 0.0000 0.0000 0.5640 x3  3 Y 2.92
Se: 0.0000 0.0000 0.7736 x3  3 Y 2.92

V: 33.14 Å³ per atom
raw formation energy: -1.72 eV per atom
M_tot: 0.00 μB per formula unit
final energy: -5.29 eV/atom

---

14.
# CsYSe2

A geometry-optimized CsYSe2 structure (PBE, Alexandria via LeMat-Bulk).

a b c (Å): 7.5578 12.0970 7.2934
angles (deg): 90.00 90.00 90.00
Last column: nearest neighbours and their distance in Å.
Space group Pna2_1 (No. 33)
One atom of each set of equivalent atoms:
Cs: 0.0095 0.1239 0.0000 x4  6 Se 3.61-3.99
Y: 0.0451 0.3753 0.4586 x4  4 Se 2.72-2.75
Se: 0.0257 0.4167 0.0918 x4  2 Y 2.73-2.75
Se: 0.1079 0.8278 0.0174 x4  2 Y 2.72-2.75

V: 41.68 Å³ per atom
raw formation energy: -1.58 eV per atom
M_tot: 0.00 μB per formula unit
final energy: -5.15 eV/atom

---

15.
# Cs3YSe

A geometry-optimized Cs3YSe structure (PBE, Alexandria via LeMat-Bulk).

a b c (Å): 7.0048 7.0048 7.0048
angles (deg): 90.00 90.00 90.00
Last column: nearest neighbours and their distance in Å.
Space group Pm-3m (No. 221)
One atom of each set of equivalent atoms:
Cs: 0.0000 0.0000 0.5000 x3  2 Se 3.50
Y: 0.5000 0.5000 0.5000 x1  12 Cs 4.95
Se: 0.0000 0.0000 0.0000 x1  6 Cs 3.50

V: 68.74 Å³ per atom
raw formation energy: 0.03 eV per atom
M_tot: 2.00 μB per formula unit
final energy: -2.47 eV/atom

---

16.
# Cs2YZn2Se4

A geometry-optimized Cs2YZn2Se4 structure (PBE, Alexandria via LeMat-Bulk).

a b c (Å): 16.5684 4.1648 8.6393
angles (deg): 90.00 111.57 90.00
Last column: nearest neighbours and their distance in Å.
Space group C2/m (No. 12)
One atom of each set of equivalent atoms:
Cs: 0.1305 0.0000 0.0599 x4  7 Se 3.68-3.84, 1 Zn 3.90, 1 Cs 4.06
Y: 0.0000 0.0000 0.5000 x2  6 Se 2.91
Zn: 0.1824 0.5000 0.5046 x4  3 Se 2.50-2.57
Se: 0.0309 0.5000 0.2926 x4  1 Zn 2.50
Se: 0.1866 0.0000 0.6824 x4  2 Zn 2.57

V: 30.80 Å³ per atom
raw formation energy: -1.10 eV per atom
M_tot: 0.00 μB per formula unit
final energy: -3.84 eV/atom

---

17.
# Cs4Y3ZrSe8

A geometry-optimized Cs4Y3ZrSe8 structure (PBE, Alexandria via LeMat-Bulk).

a b c (Å): 8.4000 8.4000 25.1316
angles (deg): 90.00 90.00 120.00
Last column: nearest neighbours and their distance in Å.
Space group R-3m (No. 166, hexagonal axes)
One atom of each set of equivalent atoms:
Cs: 0.0000 0.0000 0.0000 x3  6 Se 3.65
Cs: 0.0000 0.5000 0.0000 x9  6 Se 3.56-3.57
Y: 0.0000 0.5000 0.5000 x9  6 Se 2.89-2.91
Zr: 0.0000 0.0000 0.5000 x3  6 Se 2.80
Se: 0.0000 0.0000 0.2293 x6  3 Y 2.89
Se: 0.0118 0.5059 0.2282 x18  1 Zr 2.80, 2 Y 2.91

V: 32.00 Å³ per atom
raw formation energy: -1.61 eV per atom
M_tot: 0.55 μB per formula unit
final energy: -5.31 eV/atom

---

18.
# Cs3Y2ZrSe6

A geometry-optimized Cs3Y2ZrSe6 structure (PBE, Alexandria via LeMat-Bulk).

a b c (Å): 7.2203 12.5057 8.7279
angles (deg): 90.00 106.02 90.00
Last column: nearest neighbours and their distance in Å.
Space group C2/m (No. 12)
One atom of each set of equivalent atoms:
Cs: 0.0000 0.0000 0.0000 x2  6 Se 3.54-3.63
Cs: 0.0000 0.3305 0.0000 x4  6 Se 3.55-3.61
Y: 0.0000 0.1664 0.5000 x4  6 Se 2.90-2.91
Zr: 0.0000 0.5000 0.5000 x2  6 Se 2.79
Se: 0.2221 0.3396 0.6851 x8  1 Zr 2.79, 2 Y 2.90-2.91
Se: 0.2416 0.0000 0.6865 x4  1 Zr 2.79, 2 Y 2.91

V: 31.56 Å³ per atom
raw formation energy: -1.56 eV per atom
M_tot: 0.00 μB per formula unit
final energy: -5.31 eV/atom

---

19.
# CsYbSe2

A geometry-optimized CsYbSe2 structure (PBE, Alexandria via LeMat-Bulk).

a b c (Å): 4.3006 4.3006 16.5849
angles (deg): 90.00 90.00 120.00
Last column: nearest neighbours and their distance in Å.
Space group P6_3/mmc (No. 194)
One atom of each set of equivalent atoms:
Cs: 0.3333 0.6667 0.2500 x2  6 Se 3.61
Yb: 0.0000 0.0000 0.0000 x2  6 Se 2.92
Se: 0.3333 0.6667 0.5922 x4  3 Yb 2.92

V: 33.21 Å³ per atom
raw formation energy: -1.45 eV per atom
M_tot: 0.53 μB per formula unit
final energy: -3.78 eV/atom

---

20.
# Cs3Zn2Se4

A geometry-optimized Cs3Zn2Se4 structure (PBE, Alexandria via LeMat-Bulk).

a b c (Å): 17.0745 11.8781 6.8770
angles (deg): 90.00 93.54 90.00
Last column: nearest neighbours and their distance in Å.
Space group C2/c (No. 15)
One atom of each set of equivalent atoms:
Cs: 0.0000 0.1329 0.2500 x4  6 Se 3.54-3.92
Cs: 0.1538 0.3759 0.5403 x8  4 Se 3.48-3.71, 1 Zn 3.80
Zn: 0.2132 0.1325 0.9606 x8  4 Se 2.49-2.61
Se: 0.1462 0.3122 0.0324 x8  2 Zn 2.49
Se: 0.1630 0.0333 0.6374 x8  2 Zn 2.49-2.61

V: 38.67 Å³ per atom
offset from the most stable computed form: 0.000 eV/atom
raw formation energy: -0.89 eV per atom
M_tot: 0.00 μB per formula unit
final energy: -3.01 eV/atom